1.
The following is a PBE+U calculation of an optimized crystal structure of DyFeBO4, from the Alexandria database.

Structure (CIF):
```
data_DyFeBO4
_cell_length_a 5.793
_cell_length_b 6.115
_cell_length_c 8.175
_cell_angle_alpha 90.00
_cell_angle_beta 90.00
_cell_angle_gamma 90.00
_space_group_name_H-M_alt 'I m m a'
_space_group_IT_number 74
_space_group_name_Hall '-I 2b 2'
loop_
_atom_site_label
_atom_site_type_symbol
_atom_site_fract_x
_atom_site_fract_y
_atom_site_fract_z
Dy1 Dy 0.000 0.000 0.000
Fe1 Fe 0.250 0.250 0.250
B1 B 0.000 0.250 0.617
O1 O 0.000 0.040 0.726
O2 O 0.214 0.250 0.508
```

***

2.
The following is a PBE+U calculation of an optimized crystal structure of DyFe3B4O12, from the Alexandria database.

Structure (CIF):
```
data_DyFe3B4O12
_cell_length_a 9.6125
_cell_length_b 9.6125
_cell_length_c 7.6500
_cell_angle_alpha 90.00
_cell_angle_beta 90.00
_cell_angle_gamma 120.00
_space_group_name_H-M_alt 'P 31 2 1'
_space_group_IT_number 152
loop_
_space_group_symop_operation_xyz
'x,y,z'
'-y,x-y,z+1/3'
'-x+y,-x,z+2/3'
'y,x,-z'
'x-y,-y,-z+2/3'
'-x,-x+y,-z+1/3'
loop_
_atom_site_label
_atom_site_type_symbol
_atom_site_fract_x
_atom_site_fract_y
_atom_site_fract_z
Dy1 Dy 0.0000 0.3352 0.1667
Fe1 Fe 0.0000 0.8847 0.1667
Fe2 Fe 0.2123 0.6636 0.4885
B1 B 0.0000 0.3319 0.6667
B2 B 0.0000 0.7783 0.6667
B3 B 0.1246 0.6763 0.9856
O1 O 0.0000 0.1881 0.6667
O2 O 0.0000 0.9220 0.6667
O3 O 0.0087 0.5338 0.3509
O4 O 0.1227 0.8176 0.0108
O5 O 0.1446 0.4747 0.6576
O6 O 0.1475 0.7859 0.6487
O7 O 0.2758 0.6944 0.9612
```

***

3.
The following is a PBE+U calculation of an optimized crystal structure of DyFe3B4O12, from the Alexandria database.

Structure (CIF):
```
data_DyFe3B4O12
_cell_length_a 9.6307
_cell_length_b 9.6307
_cell_length_c 7.6491
_cell_angle_alpha 90.00
_cell_angle_beta 90.00
_cell_angle_gamma 120.00
_space_group_name_H-M_alt 'R 3 2'
_space_group_IT_number 155
_space_group_name_Hall 'R 3 2"'
loop_
_atom_site_label
_atom_site_type_symbol
_atom_site_fract_x
_atom_site_fract_y
_atom_site_fract_z
Dy1 Dy 0.0000 0.0000 0.0000
Fe1 Fe 0.0000 0.5492 0.0000
B1 B 0.0000 0.0000 0.5000
B2 B 0.0000 0.4490 0.5000
O1 O 0.0000 0.5924 0.5000
O2 O 0.0000 0.8564 0.5000
O3 O 0.0235 0.2098 0.1803
```

***

Number 1: E_tot -7.428 eV per atom, V 10.3 Å³/atom. Number 2: E_tot -7.632 eV per atom, V 10.2 Å³/atom. Number 3: E_tot -7.632 eV per atom, V 10.2 Å³/atom.